No. 1
A geometry-optimized LiTcPt structure. Source: Alexandria via LeMat-Bulk, functional PBE.

Values from the calculation:
Formation enthalpy at 0 K (kJ/mol of formula units): -58
SG: C2/m
Fermi-level density of states (states/eV/f.u.): 1.57
Energy relative to the lowest polymorph listed for this composition (meV/atom): 38

Cell: 8.823 4.840 4.840 Å, 147.36 126.92 53.08°
Atoms (fractional coordinates):
Li (0.670, 0.159, 0.841)
Tc (0.840, 0.317, 0.683)
Tc (0.160, 0.683, 0.317)
Li (0.330, 0.841, 0.159)
Pt (0.000, 0.500, 0.500)
Pt (0.500, 0.000, 0.000)

No. 2
A geometry-optimized ZnCd3Ir structure. Source: Alexandria via LeMat-Bulk, functional PBE.

Values from the calculation:
Formation enthalpy at 0 K (kJ/mol of formula units): 465
SG: Pm-3m
Fermi-level density of states (states/eV/f.u.): 3.98
Energy relative to the lowest polymorph listed for this composition (meV/atom): 528

Cell: 4.830 4.830 4.830 Å, 90.00 90.00 90.00°
Atoms (fractional coordinates):
Cd (0.500, 0.000, 0.000)
Cd (0.000, 0.000, 0.500)
Zn (0.000, 0.000, 0.000)
Ir (0.500, 0.500, 0.500)
Cd (0.000, 0.500, 0.000)

No. 3
A geometry-optimized Sc2AlPtS structure. Source: Alexandria via LeMat-Bulk, functional PBE.

Values from the calculation:
Raw formation energy (eV/atom): -1.3520
SG: P4/nmm
Fermi-level density of states (states/eV/f.u.): 3.83

Cell: 3.827 3.827 12.397 Å, 90.00 90.00 90.00°
Atoms (fractional coordinates):
Al (0.000, 0.000, 0.500)
Sc (0.000, 0.500, 0.701)
Sc (0.500, 0.000, 0.299)
S (0.000, 0.500, 0.906)
Sc (0.000, 0.500, 0.116)
Pt (0.000, 0.500, 0.354)
Sc (0.500, 0.000, 0.884)
S (0.500, 0.000, 0.094)
Pt (0.500, 0.000, 0.646)
Al (0.500, 0.500, 0.500)

No. 4
A geometry-optimized In2Hg17 structure. Source: Alexandria via LeMat-Bulk, functional PBE.

Values from the calculation:
Formation enthalpy at 0 K (kJ/mol of formula units): 70
SG: C2/m
Fermi-level density of states (states/eV/f.u.): 5.57

Cell: 8.879 8.897 8.893 Å, 64.93 64.77 64.80°
Atoms (fractional coordinates):
Hg (0.179, 0.588, 0.588)
Hg (0.000, 0.000, 0.500)
Hg (0.313, 0.000, 0.687)
Hg (0.687, 0.000, 0.313)
Hg (0.000, 0.687, 0.313)
In (0.294, 0.294, 0.294)
Hg (0.821, 0.412, 0.412)
Hg (0.500, 0.000, 0.000)
Hg (0.588, 0.178, 0.588)
Hg (0.313, 0.687, 0.000)
Hg (0.687, 0.313, 0.000)
In (0.706, 0.706, 0.706)
Hg (0.000, 0.313, 0.687)
Hg (0.912, 0.912, 0.912)
Hg (0.412, 0.412, 0.822)
Hg (0.088, 0.088, 0.088)
Hg (0.588, 0.588, 0.178)
Hg (0.000, 0.500, 0.000)
Hg (0.412, 0.822, 0.412)

No. 5
A geometry-optimized Er4Rh3Au structure. Source: Alexandria via LeMat-Bulk, functional PBE.

Values from the calculation:
Formation enthalpy at 0 K (kJ/mol of formula units): -692
SG: P4/mmm
Fermi-level density of states (states/eV/f.u.): 6.36

Cell: 4.828 6.982 9.658 Å, 90.00 90.00 90.00°
Atoms (fractional coordinates):
Er (0.000, 0.242, 0.250)
Rh (0.000, 0.000, 0.500)
Er (0.000, 0.242, 0.750)
Rh (0.500, 0.500, 0.250)
Er (0.500, 0.758, 0.000)
Rh (0.500, 0.000, 0.250)
Rh (0.500, 0.000, 0.750)
Er (0.500, 0.242, 0.000)
Au (0.000, 0.500, 0.000)
Rh (0.500, 0.500, 0.750)
Er (0.500, 0.242, 0.500)
Au (0.000, 0.500, 0.500)
Rh (0.000, 0.000, 0.000)
Er (0.500, 0.758, 0.500)
Er (0.000, 0.758, 0.250)
Er (0.000, 0.758, 0.750)

No. 6
A geometry-optimized LiI3N structure. Source: Alexandria via LeMat-Bulk, functional PBE.

Values from the calculation:
Raw formation energy (eV/atom): 0.4854
SG: Pm-3m
Fermi-level density of states (states/eV/f.u.): 2.83
Energy relative to the lowest polymorph listed for this composition (meV/atom): 0

Cell: 5.123 5.123 5.123 Å, 90.00 90.00 90.00°
Atoms (fractional coordinates):
I (0.000, 0.500, 0.000)
N (0.000, 0.000, 0.000)
Li (0.500, 0.500, 0.500)
I (0.500, 0.000, 0.000)
I (0.000, 0.000, 0.500)